(A)
The following is a PBE-GGA calculation of an optimized crystal structure of LiCa3P, from the Alexandria database.

- N(E_F): 1.01 states/eV/atom

Cell lengths 9.0126, 9.0126, 9.0126 Å; angles 129.91, 129.91, 73.56 degrees
Fractional positions:
Li 0.1215 0.1215 0.0000
Li 0.8785 0.8785 0.0000
Ca 0.1135 0.6135 0.5000
Ca 0.1278 0.3620 0.7658
Ca 0.3865 0.8865 0.5000
Ca 0.5962 0.3620 0.2342
Ca 0.6380 0.4038 0.7658
Ca 0.6380 0.8722 0.2342
P 0.5000 0.5000 0.0000
P 0.7500 0.2500 0.5000

(B)
The following is a PBE-GGA calculation of an optimized crystal structure of LiCa3P, from the Alexandria database.

- N(E_F): 0.64 states/eV/atom

Cell lengths 4.5904, 4.5904, 18.5494 Å; angles 90.00, 90.00, 120.00 degrees
Fractional positions:
Li 0.3333 0.6667 0.2500
Li 0.6667 0.3333 0.7500
Ca 0.0000 0.0000 0.2500
Ca 0.0000 0.0000 0.7500
Ca 0.3333 0.6667 0.0708
Ca 0.3333 0.6667 0.4292
Ca 0.6667 0.3333 0.5708
Ca 0.6667 0.3333 0.9292
P 0.0000 0.0000 0.0000
P 0.0000 0.0000 0.5000

Most favorable first, least favorable last: (B), (A)

(A)
The following is a PBE-GGA calculation of an optimized crystal structure of LiCa3P, from the Alexandria database.

- N(E_F): 1.03 states/eV/atom

Cell lengths 5.5837, 5.5837, 5.5837 Å; angles 90.00, 90.00, 90.00 degrees
Fractional positions:
Li 0.0000 0.0000 0.0000
Ca 0.0000 0.5000 0.5000
Ca 0.5000 0.0000 0.5000
Ca 0.5000 0.5000 0.0000
P 0.5000 0.5000 0.5000

(B)
The following is a PBE-GGA calculation of an optimized crystal structure of LiCa3P, from the Alexandria database.

- N(E_F): 0.49 states/eV/atom

Cell lengths 8.2511, 8.2511, 6.0883 Å; angles 90.00, 90.00, 130.54 degrees
Fractional positions:
Li 0.0510 0.9490 0.7500
Li 0.9490 0.0510 0.2500
Ca 0.0649 0.4333 0.7500
Ca 0.4333 0.0649 0.2500
Ca 0.5000 0.5000 0.0000
Ca 0.5000 0.5000 0.5000
Ca 0.5667 0.9351 0.7500
Ca 0.9351 0.5667 0.2500
P 0.3336 0.6664 0.2500
P 0.6664 0.3336 0.7500

Most favorable first, least favorable last: (A), (B)

(A)
The following is a PBE-GGA calculation of an optimized crystal structure of LiCa3P, from the Alexandria database.

- N(E_F): 0.59 states/eV/atom

Cell lengths 6.8205, 6.8205, 8.9608 Å; angles 90.00, 90.00, 131.12 degrees
Fractional positions:
Li 0.2425 0.7575 0.7500
Li 0.7575 0.2425 0.2500
Ca 0.0567 0.9433 0.2500
Ca 0.3632 0.6368 0.0502
Ca 0.3632 0.6368 0.4498
Ca 0.6368 0.3632 0.5502
Ca 0.6368 0.3632 0.9498
Ca 0.9433 0.0567 0.7500
P 0.4521 0.5479 0.7500
P 0.5479 0.4521 0.2500

(B)
The following is a PBE-GGA calculation of an optimized crystal structure of LiCa3P, from the Alexandria database.

- N(E_F): 0.26 states/eV/atom

Cell lengths 7.0007, 7.3931, 7.3957 Å; angles 115.41, 103.94, 103.98 degrees
Fractional positions:
Li 0.0000 0.0000 0.0000
Li 0.4973 0.5132 0.4806
Ca 0.3746 0.4752 0.0119
Ca 0.4565 0.0350 0.3757
Ca 0.4679 0.9392 0.8400
Ca 0.8748 0.5290 0.9592
Ca 0.9562 0.8912 0.5195
Ca 0.9672 0.3564 0.4245
P 0.2288 0.6610 0.3638
P 0.7297 0.8806 0.1461

Most favorable first, least favorable last: (A), (B)

(A)
The following is a PBE-GGA calculation of an optimized crystal structure of LiCaP2, from the Alexandria database.

- N(E_F): 0.46 states/eV/atom

Cell lengths 3.3571, 3.3571, 24.1333 Å; angles 90.00, 90.00, 120.00 degrees
Fractional positions:
Li 0.0000 0.0000 0.0000
Li 0.3333 0.6667 0.6667
Li 0.6667 0.3333 0.3333
Ca 0.0000 0.0000 0.5000
Ca 0.3333 0.6667 0.1667
Ca 0.6667 0.3333 0.8333
P 0.0000 0.0000 0.2559
P 0.0000 0.0000 0.7441
P 0.3333 0.6667 0.4108
P 0.3333 0.6667 0.9225
P 0.6667 0.3333 0.0775
P 0.6667 0.3333 0.5892

(B)
The following is a PBE-GGA calculation of an optimized crystal structure of LiCaP2, from the Alexandria database.

- N(E_F): 0.39 states/eV/atom

Cell lengths 3.3966, 3.3966, 7.3761 Å; angles 90.00, 90.00, 90.00 degrees
Fractional positions:
Li 0.0000 0.0000 0.0000
Ca 0.5000 0.5000 0.6137
P 0.0000 0.0000 0.3326
P 0.5000 0.5000 0.2403

(C)
The following is a PBE-GGA calculation of an optimized crystal structure of LiCaP2, from the Alexandria database.

- N(E_F): 0.17 states/eV/atom

Cell lengths 8.2092, 4.0965, 4.8879 Å; angles 90.00, 110.75, 90.00 degrees
Fractional positions:
Li 0.0000 0.0000 0.0000
Li 0.5000 0.5000 0.0000
Ca 0.0000 0.5000 0.5000
Ca 0.5000 0.0000 0.5000
P 0.2443 0.5000 0.1238
P 0.2557 0.0000 0.8762
P 0.7443 0.0000 0.1238
P 0.7557 0.5000 0.8762

(D)
The following is a PBE-GGA calculation of an optimized crystal structure of LiCaP2, from the Alexandria database.

- N(E_F): 0.29 states/eV/atom

Cell lengths 4.2306, 4.2306, 3.9887 Å; angles 90.00, 90.00, 90.00 degrees
Fractional positions:
Li 0.0000 0.0000 0.0000
Ca 0.5000 0.5000 0.0000
P 0.0000 0.5000 0.5000
P 0.5000 0.0000 0.5000

Most favorable first, least favorable last: (C), (D), (A), (B)